Entry A
The following is a DFT calculation (PBE) of an optimized crystal structure of TbThNiPt.

CIF file:
```
data_TbThNiPt
_chemical_formula_sum 'Tb4 Th4 Ni4 Pt4'
_cell_length_a 7.056
_cell_length_b 7.056
_cell_length_c 7.056
_cell_angle_alpha 90.00
_cell_angle_beta 90.00
_cell_angle_gamma 90.00
_symmetry_space_group_name_H-M 'F -4 3 m'
_symmetry_Int_Tables_number 216
_symmetry_space_group_name_Hall 'F -4 2 3'
loop_
_atom_site_label
_atom_site_fract_x
_atom_site_fract_y
_atom_site_fract_z
Tb1 0.000 0.000 0.000
Th1 0.000 0.000 0.500
Ni1 0.250 0.250 0.250
Pt1 0.250 0.250 0.750
```

Entry B
The following is a DFT calculation (PBE) of an optimized crystal structure of TbThNiPt.

CIF file:
```
data_TbThNiPt
_chemical_formula_sum 'Tb2 Th2 Ni2 Pt2'
_cell_length_a 4.330
_cell_length_b 3.774
_cell_length_c 10.950
_cell_angle_alpha 90.00
_cell_angle_beta 90.00
_cell_angle_gamma 90.00
_symmetry_space_group_name_H-M 'A m m 2'
_symmetry_Int_Tables_number 38
_symmetry_space_group_name_Hall 'A 2 -2'
loop_
_atom_site_label
_atom_site_fract_x
_atom_site_fract_y
_atom_site_fract_z
Tb1 0.000 0.000 0.000
Th1 0.500 0.000 0.724
Ni1 0.000 0.000 0.266
Pt1 0.500 0.000 0.443
```

Which of them is least stable? Easy: entry A.

Entry A
The following is a DFT calculation (PBE) of an optimized crystal structure of TbTmNiPt.

CIF file:
```
data_TbTmNiPt
_chemical_formula_sum 'Tb2 Tm2 Ni2 Pt2'
_cell_length_a 4.321
_cell_length_b 3.805
_cell_length_c 10.235
_cell_angle_alpha 90.00
_cell_angle_beta 90.00
_cell_angle_gamma 90.00
_symmetry_space_group_name_H-M 'A m m 2'
_symmetry_Int_Tables_number 38
_symmetry_space_group_name_Hall 'A 2 -2'
loop_
_atom_site_label
_atom_site_fract_x
_atom_site_fract_y
_atom_site_fract_z
Tb1 0.000 0.000 0.000
Tm1 0.500 0.000 0.719
Ni1 0.000 0.000 0.278
Pt1 0.500 0.000 0.435
```

Entry B
The following is a DFT calculation (PBE) of an optimized crystal structure of TbTmNiPt.

CIF file:
```
data_TbTmNiPt
_chemical_formula_sum 'Tb4 Tm4 Ni4 Pt4'
_cell_length_a 6.864
_cell_length_b 6.864
_cell_length_c 6.864
_cell_angle_alpha 90.00
_cell_angle_beta 90.00
_cell_angle_gamma 90.00
_symmetry_space_group_name_H-M 'F -4 3 m'
_symmetry_Int_Tables_number 216
_symmetry_space_group_name_Hall 'F -4 2 3'
loop_
_atom_site_label
_atom_site_fract_x
_atom_site_fract_y
_atom_site_fract_z
Tb1 0.000 0.000 0.000
Tm1 0.000 0.000 0.500
Ni1 0.250 0.250 0.750
Pt1 0.250 0.250 0.250
```

Which of them is least stable? Easy: entry B.

Entry A
The following is a DFT calculation (PBE) of an optimized crystal structure of TcNi2Pt2.

CIF file:
```
data_TcNi2Pt2
_chemical_formula_sum 'Tc2 Ni4 Pt4'
_cell_length_a 4.631
_cell_length_b 5.329
_cell_length_c 6.000
_cell_angle_alpha 102.86
_cell_angle_beta 97.68
_cell_angle_gamma 105.59
_symmetry_space_group_name_H-M 'P -1'
_symmetry_Int_Tables_number 2
_symmetry_space_group_name_Hall '-P 1'
loop_
_atom_site_label
_atom_site_fract_x
_atom_site_fract_y
_atom_site_fract_z
Tc1 0.092 0.453 0.191
Ni1 0.099 0.955 0.201
Ni2 0.308 0.352 0.601
Pt1 0.278 0.837 0.585
Pt2 0.493 0.249 0.001
```

Entry B
The following is a DFT calculation (PBE) of an optimized crystal structure of TcNi2Pt2.

CIF file:
```
data_TcNi2Pt2
_chemical_formula_sum 'Tc2 Ni4 Pt4'
_cell_length_a 6.965
_cell_length_b 6.965
_cell_length_c 2.839
_cell_angle_alpha 90.00
_cell_angle_beta 90.00
_cell_angle_gamma 90.00
_symmetry_space_group_name_H-M 'P 4/m b m'
_symmetry_Int_Tables_number 127
_symmetry_space_group_name_Hall '-P 4 2ab'
loop_
_atom_site_label
_atom_site_fract_x
_atom_site_fract_y
_atom_site_fract_z
Tc1 0.000 0.000 0.000
Ni1 0.124 0.376 0.000
Pt1 0.174 0.674 0.500
```

Which of them is least stable? Easy: entry B.

Entry A
The following is a DFT calculation (PBE) of an optimized crystal structure of TcNiPt2.

CIF file:
```
data_TcNiPt2
_chemical_formula_sum 'Tc1 Ni1 Pt2'
_cell_length_a 2.736
_cell_length_b 2.736
_cell_length_c 7.581
_cell_angle_alpha 90.00
_cell_angle_beta 90.00
_cell_angle_gamma 90.00
_symmetry_space_group_name_H-M 'P 4/m m m'
_symmetry_Int_Tables_number 123
_symmetry_space_group_name_Hall '-P 4 2'
loop_
_atom_site_label
_atom_site_fract_x
_atom_site_fract_y
_atom_site_fract_z
Tc1 0.000 0.000 0.000
Ni1 0.000 0.000 0.500
Pt1 0.500 0.500 0.255
```

Entry B
The following is a DFT calculation (PBE) of an optimized crystal structure of TcNiPt2.

CIF file:
```
data_TcNiPt2
_chemical_formula_sum 'Tc4 Ni4 Pt8'
_cell_length_a 6.141
_cell_length_b 6.141
_cell_length_c 6.141
_cell_angle_alpha 90.00
_cell_angle_beta 90.00
_cell_angle_gamma 90.00
_symmetry_space_group_name_H-M 'F -4 3 m'
_symmetry_Int_Tables_number 216
_symmetry_space_group_name_Hall 'F -4 2 3'
loop_
_atom_site_label
_atom_site_fract_x
_atom_site_fract_y
_atom_site_fract_z
Tc1 0.000 0.000 0.000
Ni1 0.250 0.250 0.750
Pt1 0.000 0.000 0.500
Pt2 0.250 0.250 0.250
```

Entry C
The following is a DFT calculation (PBE) of an optimized crystal structure of TcNiPt2.

CIF file:
```
data_TcNiPt2
_chemical_formula_sum 'Tc4 Ni4 Pt8'
_cell_length_a 8.955
_cell_length_b 2.734
_cell_length_c 9.335
_cell_angle_alpha 90.00
_cell_angle_beta 90.00
_cell_angle_gamma 90.00
_symmetry_space_group_name_H-M 'P n m a'
_symmetry_Int_Tables_number 62
_symmetry_space_group_name_Hall '-P 2ac 2n'
loop_
_atom_site_label
_atom_site_fract_x
_atom_site_fract_y
_atom_site_fract_z
Tc1 0.108 0.250 0.061
Ni1 0.091 0.750 0.289
Pt1 0.135 0.250 0.531
Pt2 0.154 0.750 0.802
```

Which of them is least stable? Easy: entry B.

Entry A
The following is a DFT calculation (PBE) of an optimized crystal structure of TcNiPt2.

CIF file:
```
data_TcNiPt2
_chemical_formula_sum 'Tc2 Ni2 Pt4'
_cell_length_a 3.817
_cell_length_b 3.817
_cell_length_c 7.799
_cell_angle_alpha 90.00
_cell_angle_beta 90.00
_cell_angle_gamma 90.00
_symmetry_space_group_name_H-M 'I -4 m 2'
_symmetry_Int_Tables_number 119
_symmetry_space_group_name_Hall 'I -4 -2'
loop_
_atom_site_label
_atom_site_fract_x
_atom_site_fract_y
_atom_site_fract_z
Tc1 0.000 0.000 0.000
Ni1 0.000 0.500 0.750
Pt1 0.000 0.000 0.500
Pt2 0.000 0.500 0.250
```

Entry B
The following is a DFT calculation (PBE) of an optimized crystal structure of TcNiPt2.

CIF file:
```
data_TcNiPt2
_chemical_formula_sum 'Tc3 Ni3 Pt6'
_cell_length_a 2.7464
_cell_length_b 2.7464
_cell_length_c 26.2615
_cell_angle_alpha 90.00
_cell_angle_beta 90.00
_cell_angle_gamma 120.00
_symmetry_space_group_name_H-M 'R -3 m'
_symmetry_Int_Tables_number 166
_symmetry_space_group_name_Hall '-R 3 2"'
loop_
_atom_site_label
_atom_site_fract_x
_atom_site_fract_y
_atom_site_fract_z
Tc1 0.0000 0.0000 0.0000
Ni1 0.0000 0.0000 0.5000
Pt1 0.0000 0.0000 0.2480
```

Which of them is least stable? Easy: entry B.

Entry A
The following is a DFT calculation (PBE) of an optimized crystal structure of TcNiPt2.

CIF file:
```
data_TcNiPt2
_chemical_formula_sum 'Tc3 Ni3 Pt6'
_cell_length_a 2.7688
_cell_length_b 2.7688
_cell_length_c 25.9607
_cell_angle_alpha 90.00
_cell_angle_beta 90.00
_cell_angle_gamma 120.00
_symmetry_space_group_name_H-M 'R 3 m'
_symmetry_Int_Tables_number 160
_symmetry_space_group_name_Hall 'R 3 -2"'
loop_
_atom_site_label
_atom_site_fract_x
_atom_site_fract_y
_atom_site_fract_z
Tc1 0.0000 0.0000 0.0000
Ni1 0.0000 0.0000 0.8339
Pt1 0.0000 0.0000 0.2485
Pt2 0.0000 0.0000 0.4185
```

Entry B
The following is a DFT calculation (PBE) of an optimized crystal structure of TcNiPt2.

CIF file:
```
data_TcNiPt2
_chemical_formula_sum 'Tc2 Ni2 Pt4'
_cell_length_a 9.011
_cell_length_b 2.724
_cell_length_c 4.711
_cell_angle_alpha 90.00
_cell_angle_beta 99.96
_cell_angle_gamma 90.00
_symmetry_space_group_name_H-M 'C 1 2/m 1'
_symmetry_Int_Tables_number 12
_symmetry_space_group_name_Hall '-C 2y'
loop_
_atom_site_label
_atom_site_fract_x
_atom_site_fract_y
_atom_site_fract_z
Tc1 0.000 0.000 0.000
Ni1 0.000 0.500 0.500
Pt1 0.248 0.000 0.749
```

Which of them is least stable? Easy: entry A.